(1)
A relaxed NpGaAs crystal, computed with PBE-GGA.

abc: 4.641 4.641 4.641
angles: 60.00 60.00 60.00
Sites, in units of the cell vectors:
Ga  0.250  0.250  0.250
Np  0.750  0.750  0.750
As  0.000  0.000  0.000

**Relative energy among the computed polymorphs**: 0.000 eV per atom



(2)
A relaxed GaAsOsO crystal, computed with PBE-GGA.

abc: 3.597 6.395 5.509
angles: 90.00 90.00 90.00
Sites, in units of the cell vectors:
O  0.500  0.749  0.360
Os  0.500  0.974  0.085
As  0.000  0.194  0.369
O  0.500  0.251  0.860
Os  0.500  0.026  0.585
As  0.000  0.806  0.869
Ga  0.000  0.607  0.440
Ga  0.000  0.393  0.940

**Relative energy among the computed polymorphs**: 0.099 eV per atom



(3)
A relaxed GaAsOsO crystal, computed with PBE-GGA.

abc: 3.750 3.750 9.260
angles: 90.00 90.00 90.00
Sites, in units of the cell vectors:
O  0.250  0.750  0.000
Ga  0.750  0.750  0.908
Ga  0.250  0.250  0.092
O  0.750  0.250  0.000
Os  0.250  0.750  0.500
Os  0.750  0.250  0.500
As  0.750  0.750  0.317
As  0.250  0.250  0.683

**Relative energy among the computed polymorphs**: 0.000 eV per atom



(4)
A relaxed GaAsOsO crystal, computed with PBE-GGA.

abc: 3.403 3.403 10.446
angles: 90.00 90.00 90.00
Sites, in units of the cell vectors:
As  0.500  0.000  0.752
O  0.500  0.500  0.000
As  0.000  0.500  0.248
Os  0.000  0.500  0.874
Ga  0.500  0.500  0.500
O  0.000  0.000  0.000
Ga  0.000  0.000  0.500
Os  0.500  0.000  0.126

**Relative energy among the computed polymorphs**: 0.624 eV per atom